Entry 1:
Here is crystalline InSn2NCl at its relaxed geometry from the Alexandria database. Energies are from GGA-PBE.

Properties
Crystal system: tetragonal
Final energy in eV for the cell shown: -15.9
Space group: P4/mmm (123)
Calculated volume in Å³/cell: 120

Cell lengths 5.424, 4.069, 5.424 Å; angles 90.00, 90.00, 90.00 degrees
Sites, in units of the cell vectors:
N 0.000 0.500 0.000
Sn 0.000 0.000 0.500
Cl 0.000 0.000 0.000
Sn 0.500 0.000 0.000
In 0.500 0.500 0.500



Entry 2:
Here is crystalline ZrInN2Cl at its relaxed geometry from the Alexandria database. Energies are from GGA-PBE.

Properties
Crystal system: tetragonal
Final energy in eV for the cell shown: -23.0
Space group: P4/mmm (123)
Calculated volume in Å³/cell: 98

Cell lengths 4.071, 5.890, 4.071 Å; angles 90.00, 90.00, 90.00 degrees
Sites, in units of the cell vectors:
In 0.000 0.000 0.000
Zr 0.000 0.500 0.000
Cl 0.500 0.500 0.500
N 0.500 0.000 0.000
N 0.000 0.000 0.500



Entry 3:
Here is crystalline Na2InCl at its relaxed geometry from the Alexandria database. Energies are from GGA-PBE.

Properties
Crystal system: trigonal
Final energy in eV for the cell shown: -10.2
ΔE to the lowest computed polymorph in eV/atom: 0.077
Space group: R-3m (166)
Calculated volume in Å³/cell: 114

Cell lengths 3.688, 3.688, 9.897 Å; angles 79.26, 79.26, 60.00 degrees
Sites, in units of the cell vectors:
Cl 0.500 0.500 0.500
Na 0.106 0.106 0.683
Na 0.894 0.894 0.317
In 0.000 0.000 0.000



Entry 4:
Here is crystalline NaIn2Cl at its relaxed geometry from the Alexandria database. Energies are from GGA-PBE.

Properties
Crystal system: tetragonal
Final energy in eV for the cell shown: -20.0
ΔE to the lowest computed polymorph in eV/atom: 0.000
Space group: I-42d (122)
Calculated volume in Å³/cell: 246

Cell lengths 9.088, 9.088, 7.080 Å; angles 50.08, 50.08, 90.00 degrees
Sites, in units of the cell vectors:
In 0.657 0.125 0.250
Na 0.250 0.750 0.500
Cl 0.750 0.250 0.500
Na 0.500 0.500 0.000
Cl 0.000 0.000 0.000
In 0.375 0.343 0.750
In 0.875 0.907 0.750
In 0.093 0.625 0.250



Entry 5:
Here is crystalline Na3InCl6 at its relaxed geometry from the Alexandria database. Energies are from GGA-PBE.

Properties
Crystal system: trigonal
Final energy in eV for the cell shown: -66.3
Space group: P-31c (163)
Calculated volume in Å³/cell: 535

Cell lengths 6.997, 6.997, 12.613 Å; angles 90.00, 90.00, 120.00 degrees
Sites, in units of the cell vectors:
Cl 0.318 0.952 0.871
Cl 0.048 0.366 0.871
Cl 0.366 0.318 0.129
Cl 0.048 0.682 0.629
Cl 0.366 0.048 0.371
Cl 0.682 0.048 0.129
Na 0.000 0.000 0.250
Na 0.333 0.667 0.039
Cl 0.318 0.366 0.629
Cl 0.952 0.318 0.371
Cl 0.682 0.634 0.371
Cl 0.634 0.682 0.871
In 0.333 0.667 0.750
Cl 0.634 0.952 0.629
Cl 0.952 0.634 0.129
Na 0.667 0.333 0.539
In 0.667 0.333 0.250
Na 0.333 0.667 0.461
Na 0.667 0.333 0.961
Na 0.000 0.000 0.750



Entry 6:
Here is crystalline NaIn2Cl2 at its relaxed geometry from the Alexandria database. Energies are from GGA-PBE.

Properties
Crystal system: tetragonal
Final energy in eV for the cell shown: -28.9
Space group: P4/mbm (127)
Calculated volume in Å³/cell: 283

Cell lengths 7.185, 7.185, 5.490 Å; angles 90.00, 90.00, 90.00 degrees
Sites, in units of the cell vectors:
Cl 0.675 0.175 0.000
In 0.295 0.205 0.500
In 0.705 0.795 0.500
Cl 0.825 0.675 0.000
In 0.795 0.295 0.500
Na 0.000 0.000 0.000
Cl 0.325 0.825 0.000
Na 0.500 0.500 0.000
Cl 0.175 0.325 0.000
In 0.205 0.705 0.500



Entry 7:
Here is crystalline NaInCl at its relaxed geometry from the Alexandria database. Energies are from GGA-PBE.

Properties
Crystal system: orthorhombic
Final energy in eV for the cell shown: -16.6
Space group: Amm2 (38)
Calculated volume in Å³/cell: 168

Cell lengths 3.754, 3.770, 13.726 Å; angles 90.00, 90.00, 119.86 degrees
Sites, in units of the cell vectors:
In 0.301 0.601 0.500
Cl 0.607 0.213 0.319
Cl 0.607 0.213 0.681
Na 0.274 0.549 0.205
Na 0.274 0.549 0.795
In 0.604 0.208 0.000



Entry 8:
Here is crystalline Na3InCl at its relaxed geometry from the Alexandria database. Energies are from GGA-PBE.

Properties
Crystal system: cubic
Final energy in eV for the cell shown: -11.4
ΔE to the lowest computed polymorph in eV/atom: 0.000
Space group: Pm-3m (221)
Calculated volume in Å³/cell: 153

Cell lengths 5.344, 5.344, 5.344 Å; angles 90.00, 90.00, 90.00 degrees
Sites, in units of the cell vectors:
Cl 0.000 0.000 0.000
In 0.500 0.500 0.500
Na 0.000 0.000 0.500
Na 0.000 0.500 0.000
Na 0.500 0.000 0.000



Entry 9:
Here is crystalline NaInCl3 at its relaxed geometry from the Alexandria database. Energies are from GGA-PBE.

Properties
Crystal system: cubic
Final energy in eV for the cell shown: -15.2
Space group: Pm-3m (221)
Calculated volume in Å³/cell: 157

Cell lengths 5.394, 5.394, 5.394 Å; angles 90.00, 90.00, 90.00 degrees
Sites, in units of the cell vectors:
In 0.000 0.000 0.000
Cl 0.500 0.000 0.000
Cl 0.000 0.500 0.000
Cl 0.000 0.000 0.500
Na 0.500 0.500 0.500



Entry 10:
Here is crystalline Na3InCl6 at its relaxed geometry from the Alexandria database. Energies are from GGA-PBE.

Properties
Crystal system: cubic
Final energy in eV for the cell shown: -31.7
Space group: Fm-3m (225)
Calculated volume in Å³/cell: 283

Cell lengths 7.367, 7.367, 7.367 Å; angles 60.00, 60.00, 60.00 degrees
Sites, in units of the cell vectors:
Cl 0.758 0.242 0.758
Cl 0.242 0.242 0.758
Cl 0.758 0.758 0.242
In 0.000 0.000 0.000
Cl 0.242 0.758 0.758
Na 0.250 0.250 0.250
Cl 0.758 0.242 0.242
Cl 0.242 0.758 0.242
Na 0.500 0.500 0.500
Na 0.750 0.750 0.750



Entry 11:
Here is crystalline Na2InCl at its relaxed geometry from the Alexandria database. Energies are from GGA-PBE.

Properties
Crystal system: tetragonal
Final energy in eV for the cell shown: -10.5
ΔE to the lowest computed polymorph in eV/atom: 0.000
Space group: P4/mmm (123)
Calculated volume in Å³/cell: 99

Cell lengths 3.405, 3.405, 8.566 Å; angles 90.00, 90.00, 90.00 degrees
Sites, in units of the cell vectors:
Cl 0.500 0.500 0.000
In 0.500 0.500 0.500
Na 0.000 0.000 0.801
Na 0.000 0.000 0.199



Entry 12:
Here is crystalline NaInCl3 at its relaxed geometry from the Alexandria database. Energies are from GGA-PBE.

Properties
Crystal system: triclinic
Final energy in eV for the cell shown: -31.2
Space group: P-1 (2)
Calculated volume in Å³/cell: 281

Cell lengths 7.351, 7.322, 7.545 Å; angles 59.22, 60.47, 57.77 degrees
Sites, in units of the cell vectors:
Cl 0.558 0.945 0.252
Cl 0.442 0.055 0.748
Na 0.642 0.642 0.070
In 0.846 0.847 0.452
Cl 0.760 0.442 0.756
Cl 0.240 0.558 0.244
In 0.154 0.153 0.548
Na 0.358 0.358 0.930
Cl 0.049 0.772 0.723
Cl 0.951 0.228 0.277



Number 1: magnetization 0.000 μB/atom. Number 2: magnetization 0.003 μB/atom. Number 3: magnetization 0.000 μB/atom. Number 4: magnetization 0.000 μB/atom. Number 5: magnetization 0.000 μB/atom. Number 6: magnetization 0.000 μB/atom. Number 7: magnetization 0.000 μB/atom. Number 8: magnetization 0.000 μB/atom. Number 9: magnetization 0.000 μB/atom. Number 10: magnetization 0.000 μB/atom. Number 11: magnetization 0.000 μB/atom. Number 12: magnetization 0.000 μB/atom.